VASP calculation (PBE-GGA) on a geometry-optimized ZrNbVTc structure.

Values from the calculation:
- Calculated volume: 17.1 A^3/atom
- SG: F-43m
- Energy: -9.637 eV/atom
- Magnetization: 0.3525 μB/atom

abc: 4.5920 4.5920 4.5920
angles: 60.00 60.00 60.00
Atoms (fractional coordinates):
Zr (0.0000, 0.0000, 0.0000)
Nb (0.5000, 0.5000, 0.5000)
V (0.7500, 0.7500, 0.7500)
Tc (0.2500, 0.2500, 0.2500)

=====

VASP calculation (PBE-GGA) on a geometry-optimized AlRhNO2 structure.

Values from the calculation:
- Calculated volume: 12.0 A^3/atom
- Formation energy without anion corrections: 3.3 kcal/mol of atoms
- SG: P4/mmm
- Energy: -5.723 eV/atom
- Magnetization: 0.0000 μB/atom

abc: 4.0369 4.0369 3.6760
angles: 90.00 90.00 90.00
Atoms (fractional coordinates):
Al (0.0000, 0.0000, 0.0000)
Rh (0.5000, 0.5000, 0.5000)
N (0.5000, 0.5000, 0.0000)
O (0.0000, 0.5000, 0.5000)
O (0.5000, 0.0000, 0.5000)

=====

VASP calculation (PBE-GGA) on a geometry-optimized Ac4HoIr3 structure.

Values from the calculation:
- Calculated volume: 33.4 A^3/atom
- SG: Cc
- Energy: -6.555 eV/atom
- Magnetization: 0.0000 μB/atom

abc: 8.0087 8.0087 10.9930
angles: 110.68 110.68 55.74
Atoms (fractional coordinates):
Ac (0.0263, 0.3585, 0.4197)
Ac (0.1620, 0.8380, 0.5000)
Ac (0.3585, 0.0263, 0.9197)
Ac (0.4198, 0.7661, 0.2040)
Ac (0.6174, 0.9650, 0.6052)
Ac (0.7661, 0.4198, 0.7040)
Ac (0.8380, 0.1620, 0.0000)
Ac (0.9650, 0.6174, 0.1052)
Ho (0.2279, 0.5760, 0.8049)
Ho (0.5760, 0.2279, 0.3049)
Ir (0.2082, 0.2138, 0.6792)
Ir (0.2138, 0.2082, 0.1792)
Ir (0.5884, 0.5878, 0.4510)
Ir (0.5878, 0.5884, 0.9510)
Ir (0.9710, 0.9989, 0.2454)
Ir (0.9989, 0.9710, 0.7454)

=====

VASP calculation (PBE-GGA) on a geometry-optimized BeHgPt3 structure.

Values from the calculation:
- Calculated volume: 16.4 A^3/atom
- SG: P4mm
- Energy: -4.508 eV/atom
- Magnetization: 0.0000 μB/atom

abc: 3.8710 3.8710 5.4613
angles: 90.00 90.00 90.00
Atoms (fractional coordinates):
Be (0.0000, 0.0000, 0.0000)
Hg (0.5000, 0.5000, 0.7834)
Pt (0.0000, 0.0000, 0.5972)
Pt (0.0000, 0.5000, 0.2307)
Pt (0.5000, 0.0000, 0.2307)

=====

VASP calculation (PBE-GGA) on a geometry-optimized KVFe2I8 structure.

Values from the calculation:
- Calculated volume: 40.8 A^3/atom
- Formation energy without anion corrections: -9.3 kcal/mol of atoms
- SG: C2/m
- Energy: -3.699 eV/atom
- Magnetization: 0.9336 μB/atom

abc: 7.1760 7.1760 10.2205
angles: 94.05 94.05 68.92
Atoms (fractional coordinates):
K (0.0000, 0.0000, 0.0000)
V (0.0000, 0.0000, 0.5000)
Fe (0.3756, 0.3756, 0.7098)
Fe (0.6244, 0.6244, 0.2902)
I (0.2299, 0.7421, 0.2986)
I (0.2367, 0.2367, 0.4989)
I (0.2579, 0.7701, 0.7014)
I (0.3028, 0.3028, 0.9369)
I (0.6972, 0.6972, 0.0631)
I (0.7421, 0.2299, 0.2986)
I (0.7633, 0.7633, 0.5011)
I (0.7701, 0.2579, 0.7014)

=====

VASP calculation (PBE-GGA) on a geometry-optimized Ac4ScZn5 structure.

Values from the calculation:
- Calculated volume: 27.5 A^3/atom
- SG: P4/mmm
- Energy: -3.139 eV/atom
- Magnetization: 0.0000 μB/atom

abc: 3.8029 3.8029 19.0119
angles: 90.00 90.00 90.00
Atoms (fractional coordinates):
Ac (0.0000, 0.0000, 0.1050)
Ac (0.0000, 0.0000, 0.3157)
Ac (0.0000, 0.0000, 0.6843)
Ac (0.0000, 0.0000, 0.8950)
Sc (0.0000, 0.0000, 0.5000)
Zn (0.5000, 0.5000, 0.0000)
Zn (0.5000, 0.5000, 0.2094)
Zn (0.5000, 0.5000, 0.4281)
Zn (0.5000, 0.5000, 0.5719)
Zn (0.5000, 0.5000, 0.7906)

=====

VASP calculation (PBE-GGA) on a geometry-optimized La7Pm2Y2 structure.

Values from the calculation:
- Calculated volume: 35.9 A^3/atom
- SG: C2/m
- Energy: -4.930 eV/atom
- Magnetization: 0.0001 μB/atom

abc: 7.6150 7.6150 9.0615
angles: 110.00 110.00 54.49
Atoms (fractional coordinates):
La (0.0000, 0.0000, 0.0000)
La (0.0388, 0.5646, 0.6949)
La (0.4237, 0.4237, 0.1203)
La (0.4354, 0.9612, 0.3051)
La (0.5646, 0.0388, 0.6949)
La (0.5763, 0.5763, 0.8797)
La (0.9612, 0.4354, 0.3051)
Pm (0.1722, 0.1722, 0.8692)
Pm (0.8278, 0.8278, 0.1308)
Y (0.2480, 0.7520, 0.5000)
Y (0.7520, 0.2480, 0.5000)

=====

VASP calculation (PBE-GGA) on a geometry-optimized Cs4Ce3HfSe8 structure.

Values from the calculation:
- Calculated volume: 33.7 A^3/atom
- Formation energy without anion corrections: -35.4 kcal/mol of atoms
- SG: R-3m
- Energy: -5.225 eV/atom
- Magnetization: 0.2405 μB/atom

abc: 9.7554 9.7554 9.7554
angles: 52.39 52.39 52.39
Atoms (fractional coordinates):
Cs (0.0000, 0.0000, 0.0000)
Cs (0.0000, 0.5000, 0.5000)
Cs (0.5000, 0.0000, 0.5000)
Cs (0.5000, 0.5000, 0.0000)
Ce (0.0000, 0.0000, 0.5000)
Ce (0.0000, 0.5000, 0.0000)
Ce (0.5000, 0.0000, 0.0000)
Hf (0.5000, 0.5000, 0.5000)
Se (0.2315, 0.2315, 0.2315)
Se (0.2523, 0.7158, 0.7158)
Se (0.2842, 0.2842, 0.7477)
Se (0.2842, 0.7477, 0.2842)
Se (0.7158, 0.2523, 0.7158)
Se (0.7158, 0.7158, 0.2523)
Se (0.7477, 0.2842, 0.2842)
Se (0.7685, 0.7685, 0.7685)

=====

The lowest calculated volume belongs to which entry?
AlRhNO2